A relaxed Nd4PuAg5 crystal. Source: the Alexandria database, functional PBE.

The structure in POSCAR format:
```
Nd4PuAg5
1.0
3.702 0.000 0.000
0.000 3.702 0.000
0.000 0.000 19.104
Nd Pu Ag
4 1 5
direct
0.000 0.000 0.101
0.000 0.000 0.302
0.000 0.000 0.698
0.000 0.000 0.899
0.000 0.000 0.500
0.500 0.500 0.000
0.500 0.500 0.201
0.500 0.500 0.400
0.500 0.500 0.600
0.500 0.500 0.799
```

Computed properties:
Total moment   5.72 μB/f.u.
Energy of formation   -0.175 eV/atom
V   26.2 Å³ per atom

A relaxed Nd2PuAg crystal. Source: the Alexandria database, functional PBE.

The structure in POSCAR format:
```
Nd2PuAg
1.0
3.643 0.000 0.000
0.000 3.643 0.000
0.000 0.000 8.692
Nd Pu Ag
2 1 1
direct
0.000 0.000 0.224
0.000 0.000 0.776
0.500 0.500 0.500
0.500 0.500 0.000
```

Computed properties:
Total moment   6.34 μB/f.u.
Energy above the lowest structure with this stoichiometry   0.000 eV/atom
Energy of formation   -0.004 eV/atom
V   28.8 Å³ per atom

A relaxed Nd2PuAg crystal. Source: the Alexandria database, functional PBE.

The structure in POSCAR format:
```
Nd2PuAg
1.0
3.424 0.000 0.000
-1.712 2.965 0.000
0.000 0.000 35.352
Nd Pu Ag
6 3 3
direct
0.000 0.000 0.095
0.000 0.000 0.905
0.333 0.667 0.572
0.333 0.667 0.762
0.667 0.333 0.238
0.667 0.333 0.428
0.000 0.000 0.000
0.333 0.667 0.667
0.667 0.333 0.333
0.000 0.000 0.500
0.333 0.667 0.167
0.667 0.333 0.833
```

Computed properties:
Total moment   6.29 μB/f.u.
Energy above the lowest structure with this stoichiometry   0.283 eV/atom
Energy of formation   0.279 eV/atom
V   29.9 Å³ per atom

A relaxed NdPuAgRh crystal. Source: the Alexandria database, functional PBE.

The structure in POSCAR format:
```
NdPuAgRh
1.0
7.188 0.000 0.000
0.000 7.188 0.000
0.000 0.000 7.188
Nd Pu Ag Rh
4 4 4 4
direct
0.000 0.000 0.000
0.000 0.500 0.500
0.500 0.000 0.500
0.500 0.500 0.000
0.000 0.000 0.500
0.000 0.500 0.000
0.500 0.000 0.000
0.500 0.500 0.500
0.250 0.250 0.750
0.250 0.750 0.250
0.750 0.250 0.250
0.750 0.750 0.750
0.250 0.250 0.250
0.250 0.750 0.750
0.750 0.250 0.750
0.750 0.750 0.250
```

Computed properties:
Total moment   5.76 μB/f.u.
Energy of formation   -0.258 eV/atom
V   23.2 Å³ per atom

A relaxed NdPuAgSb crystal. Source: the Alexandria database, functional PBE.

The structure in POSCAR format:
```
NdPuAgSb
1.0
7.561 0.000 0.000
0.000 7.561 0.000
0.000 0.000 7.561
Nd Pu Ag Sb
4 4 4 4
direct
0.000 0.000 0.000
0.000 0.500 0.500
0.500 0.000 0.500
0.500 0.500 0.000
0.000 0.000 0.500
0.000 0.500 0.000
0.500 0.000 0.000
0.500 0.500 0.500
0.250 0.250 0.750
0.250 0.750 0.250
0.750 0.250 0.250
0.750 0.750 0.750
0.250 0.250 0.250
0.250 0.750 0.750
0.750 0.250 0.750
0.750 0.750 0.250
```

Computed properties:
Total moment   7.00 μB/f.u.
ΔE_f (raw)   -0.44 eV per atom
V   27.0 Å³ per atom

A relaxed Nd2PuAgSe5 crystal. Source: the Alexandria database, functional PBE.

The structure in POSCAR format:
```
Nd2PuAgSe5
1.0
2.085 -8.748 0.000
2.085 8.748 0.000
0.000 0.000 12.587
Nd Pu Ag Se
4 2 2 10
direct
0.111 0.889 0.500
0.125 0.875 0.120
0.875 0.125 0.620
0.889 0.111 0.000
0.197 0.803 0.822
0.803 0.197 0.322
0.449 0.551 0.275
0.551 0.449 0.775
0.046 0.954 0.894
0.288 0.712 0.481
0.307 0.693 0.158
0.363 0.637 0.814
0.498 0.502 0.585
0.502 0.498 0.085
0.637 0.363 0.314
0.693 0.307 0.658
0.712 0.288 0.981
0.954 0.046 0.394
```

Computed properties:
Total moment   5.00 μB/f.u.
ΔE_f (raw)   -1.41 eV per atom
V   25.5 Å³ per atom

A relaxed NdPuAgSn crystal. Source: the Alexandria database, functional PBE.

The structure in POSCAR format:
```
NdPuAgSn
1.0
7.574 0.000 0.000
0.000 7.574 0.000
0.000 0.000 7.574
Nd Pu Ag Sn
4 4 4 4
direct
0.000 0.000 0.000
0.000 0.500 0.500
0.500 0.000 0.500
0.500 0.500 0.000
0.000 0.000 0.500
0.000 0.500 0.000
0.500 0.000 0.000
0.500 0.500 0.500
0.250 0.250 0.750
0.250 0.750 0.250
0.750 0.250 0.250
0.750 0.750 0.750
0.250 0.250 0.250
0.250 0.750 0.750
0.750 0.250 0.750
0.750 0.750 0.250
```

Computed properties:
Total moment   6.27 μB/f.u.
Energy of formation   -0.313 eV/atom
V   27.2 Å³ per atom

A relaxed NdPuAg2Te4 crystal. Source: the Alexandria database, functional PBE.

The structure in POSCAR format:
```
NdPuAg2Te4
1.0
7.668 0.000 0.000
0.000 7.700 0.000
0.000 0.000 8.339
Nd Pu Ag Te
2 2 4 8
direct
0.000 0.000 0.000
0.500 0.500 0.500
0.000 0.000 0.500
0.500 0.500 0.000
0.000 0.500 0.331
0.000 0.500 0.669
0.500 0.000 0.169
0.500 0.000 0.831
0.245 0.250 0.801
0.245 0.750 0.199
0.255 0.250 0.301
0.255 0.750 0.699
0.745 0.250 0.699
0.745 0.750 0.301
0.755 0.250 0.199
0.755 0.750 0.801
```

Computed properties:
Total moment   5.39 μB/f.u.
ΔE_f (raw)   -0.61 eV per atom
V   30.8 Å³ per atom

A relaxed RbNdAg2 crystal. Source: the Alexandria database, functional PBE.

The structure in POSCAR format:
```
RbNdAg2
1.0
3.929 0.000 0.000
0.000 3.929 0.000
0.000 0.000 8.487
Rb Nd Ag
1 1 2
direct
0.000 0.000 0.000
0.000 0.000 0.500
0.500 0.500 0.322
0.500 0.500 0.678
```

Computed properties:
Total moment   0.00 μB/f.u.
Energy of formation   -0.077 eV/atom
V   32.8 Å³ per atom

A relaxed RbNd2AgS4 crystal. Source: the Alexandria database, functional PBE.

The structure in POSCAR format:
```
RbNd2AgS4
1.0
2.094 -7.055 0.000
2.094 7.055 0.000
0.000 0.000 14.524
Rb Nd Ag S
2 4 2 8
direct
0.114 0.886 0.750
0.886 0.114 0.250
0.368 0.632 0.564
0.368 0.632 0.936
0.632 0.368 0.064
0.632 0.368 0.436
0.163 0.837 0.250
0.837 0.163 0.750
0.000 0.000 0.000
0.000 0.000 0.500
0.261 0.739 0.103
0.261 0.739 0.397
0.438 0.562 0.750
0.562 0.438 0.250
0.739 0.261 0.603
0.739 0.261 0.897
```

Computed properties:
Total moment   0.00 μB/f.u.
ΔE_f (raw)   -1.58 eV per atom
V   26.8 Å³ per atom

A relaxed RbNdAgS2 crystal. Source: the Alexandria database, functional PBE.

The structure in POSCAR format:
```
RbNdAgS2
1.0
7.681 0.000 0.000
0.000 5.131 0.000
-1.372 0.000 7.990
Rb Nd Ag S
2 2 2 4
direct
0.000 0.141 0.250
0.000 0.859 0.750
0.500 0.493 0.750
0.500 0.507 0.250
0.500 0.000 0.000
0.500 0.000 0.500
0.265 0.357 0.964
0.265 0.643 0.464
0.735 0.357 0.536
0.735 0.643 0.036
```

Computed properties:
Total moment   0.00 μB/f.u.
ΔE_f (raw)   -1.08 eV per atom
V   31.5 Å³ per atom

A relaxed RbNdAgSe3 crystal. Source: the Alexandria database, functional PBE.

The structure in POSCAR format:
```
RbNdAgSe3
1.0
2.141 -7.879 0.000
2.141 7.879 0.000
0.000 0.000 11.111
Rb Nd Ag Se
2 2 2 6
direct
0.249 0.751 0.750
0.751 0.249 0.250
0.500 0.500 0.000
0.500 0.500 0.500
0.031 0.969 0.250
0.969 0.031 0.750
0.126 0.874 0.056
0.126 0.874 0.444
0.429 0.571 0.250
0.571 0.429 0.750
0.874 0.126 0.556
0.874 0.126 0.944
```

Computed properties:
Total moment   0.00 μB/f.u.
ΔE_f (raw)   -1.11 eV per atom
V   31.2 Å³ per atom

A relaxed RbNdAgTe3 crystal. Source: the Alexandria database, functional PBE.

The structure in POSCAR format:
```
RbNdAgTe3
1.0
2.224 -8.641 0.000
2.224 8.641 0.000
0.000 0.000 11.555
Rb Nd Ag Te
2 2 2 6
direct
0.247 0.753 0.750
0.753 0.247 0.250
0.000 0.000 0.000
0.000 0.000 0.500
0.475 0.525 0.250
0.525 0.475 0.750
0.078 0.922 0.250
0.374 0.626 0.060
0.374 0.626 0.440
0.626 0.374 0.560
0.626 0.374 0.940
0.922 0.078 0.750
```

Computed properties:
Total moment   0.00 μB/f.u.
ΔE_f (raw)   -0.92 eV per atom
V   37.0 Å³ per atom

A relaxed RbNd3Ag2Te6 crystal. Source: the Alexandria database, functional PBE.

The structure in POSCAR format:
```
RbNd3Ag2Te6
1.0
10.931 -2.316 0.000
10.931 2.316 0.000
-3.902 0.000 9.641
Rb Nd Ag Te
1 3 2 6
direct
0.000 0.000 0.000
0.000 0.000 0.500
0.328 0.328 0.158
0.672 0.672 0.842
0.389 0.389 0.519
0.611 0.611 0.481
0.166 0.166 0.614
0.175 0.175 0.049
0.488 0.488 0.273
0.512 0.512 0.727
0.825 0.825 0.951
0.834 0.834 0.386
```

Computed properties:
Total moment   0.00 μB/f.u.
ΔE_f (raw)   -1.06 eV per atom
V   40.7 Å³ per atom

A relaxed Nd6AgRh2 crystal. Source: the Alexandria database, functional PBE.

The structure in POSCAR format:
```
Nd6AgRh2
1.0
-4.761 5.002 5.337
4.761 -5.002 5.337
4.761 5.002 -5.337
Nd Ag Rh
12 2 4
direct
0.032 0.230 0.803
0.178 0.290 0.468
0.178 0.710 0.888
0.329 0.024 0.694
0.329 0.635 0.306
0.427 0.230 0.197
0.573 0.770 0.803
0.671 0.365 0.694
0.671 0.976 0.306
0.822 0.290 0.112
0.822 0.710 0.532
0.968 0.770 0.197
0.000 0.000 0.000
0.500 0.500 0.000
0.133 0.633 0.500
0.338 0.000 0.338
0.662 0.000 0.662
0.867 0.367 0.500
```

Computed properties:
Total moment   0.00 μB/f.u.
Energy above the lowest structure with this stoichiometry   0.000 eV/atom
Energy of formation   -0.409 eV/atom
V   28.2 Å³ per atom

A relaxed Nd8AgRh5 crystal. Source: the Alexandria database, functional PBE.

The structure in POSCAR format:
```
Nd8AgRh5
1.0
-4.499 4.499 4.436
4.499 -4.499 4.436
4.499 4.499 -4.436
Nd Ag Rh
8 1 5
direct
0.000 0.885 0.244
0.115 0.360 0.116
0.124 0.371 0.638
0.244 0.000 0.884
0.514 0.876 0.247
0.629 0.267 0.753
0.640 0.756 0.756
0.733 0.486 0.362
0.250 0.750 0.500
0.007 0.629 0.885
0.371 0.256 0.378
0.500 0.500 0.000
0.744 0.122 0.115
0.878 0.993 0.622
```

Computed properties:
Total moment   0.00 μB/f.u.
Energy of formation   -0.562 eV/atom
V   25.7 Å³ per atom

A relaxed Nd3AgRh8 crystal. Source: the Alexandria database, functional PBE.

The structure in POSCAR format:
```
Nd3AgRh8
1.0
2.681 1.548 8.799
-2.681 1.548 8.799
0.000 -3.095 8.799
Nd Ag Rh
3 1 8
direct
0.000 0.000 0.000
0.130 0.130 0.130
0.513 0.513 0.513
0.634 0.634 0.634
0.067 0.567 0.567
0.069 0.069 0.567
0.069 0.567 0.069
0.318 0.318 0.318
0.567 0.067 0.567
0.567 0.069 0.069
0.567 0.567 0.067
0.818 0.818 0.818
```

Computed properties:
Total moment   0.00 μB/f.u.
Energy of formation   -0.475 eV/atom
V   18.3 Å³ per atom

A relaxed Nd7AgRh4 crystal. Source: the Alexandria database, functional PBE.

The structure in POSCAR format:
```
Nd7AgRh4
1.0
6.945 -2.828 0.000
6.945 2.828 0.000
-5.660 0.000 8.040
Nd Ag Rh
7 1 4
direct
0.000 0.000 0.000
0.175 0.175 0.623
0.294 0.294 0.118
0.422 0.422 0.632
0.578 0.578 0.368
0.706 0.706 0.882
0.825 0.825 0.377
0.500 0.500 0.000
0.067 0.067 0.778
0.205 0.205 0.339
0.795 0.795 0.661
0.933 0.933 0.222
```

Computed properties:
Total moment   0.00 μB/f.u.
Energy of formation   -0.361 eV/atom
V   26.3 Å³ per atom

A relaxed NdAgRh4 crystal. Source: the Alexandria database, functional PBE.

The structure in POSCAR format:
```
NdAgRh4
1.0
0.000 3.755 3.755
3.755 0.000 3.755
3.755 3.755 0.000
Nd Ag Rh
1 1 4
direct
0.000 0.000 0.000
0.750 0.750 0.750
0.375 0.375 0.375
0.375 0.375 0.874
0.375 0.874 0.375
0.874 0.375 0.375
```

Computed properties:
Total moment   0.22 μB/f.u.
Energy of formation   -0.254 eV/atom
V   17.6 Å³ per atom

A relaxed Nd2Ag2Rh crystal. Source: the Alexandria database, functional PBE.

The structure in POSCAR format:
```
Nd2Ag2Rh
1.0
3.990 0.000 0.000
1.991 5.353 0.000
1.966 1.491 11.254
Nd Ag Rh
4 4 2
direct
0.001 0.164 0.335
0.190 0.248 0.873
0.810 0.752 0.127
0.999 0.836 0.665
0.338 0.283 0.541
0.461 0.684 0.895
0.539 0.316 0.105
0.662 0.717 0.459
0.304 0.588 0.303
0.696 0.412 0.697
```

Computed properties:
Total moment   0.00 μB/f.u.
Energy of formation   -0.400 eV/atom
V   24.0 Å³ per atom

A relaxed Nd4Ag2Rh crystal. Source: the Alexandria database, functional PBE.

The structure in POSCAR format:
```
Nd4Ag2Rh
1.0
2.597 1.499 8.417
-2.597 1.499 8.417
0.000 -2.999 8.417
Nd Ag Rh
4 2 1
direct
0.120 0.120 0.120
0.371 0.371 0.371
0.629 0.629 0.629
0.880 0.880 0.880
0.245 0.245 0.245
0.755 0.755 0.755
0.000 0.000 0.000
```

Computed properties:
Total moment   0.00 μB/f.u.
Energy above the lowest structure with this stoichiometry   0.002 eV/atom
Energy of formation   -0.239 eV/atom
V   28.1 Å³ per atom

A relaxed Nd6Ag2Rh crystal. Source: the Alexandria database, functional PBE.

The structure in POSCAR format:
```
Nd6Ag2Rh
1.0
6.820 0.000 0.000
0.000 7.673 0.000
-6.462 0.000 10.567
Nd Ag Rh
12 4 2
direct
0.115 0.019 0.249
0.115 0.481 0.749
0.217 0.688 0.060
0.217 0.812 0.560
0.374 0.178 0.053
0.374 0.322 0.553
0.626 0.678 0.447
0.626 0.822 0.947
0.783 0.188 0.440
0.783 0.312 0.940
0.885 0.519 0.251
0.885 0.981 0.751
0.316 0.111 0.750
0.316 0.389 0.250
0.684 0.611 0.750
0.684 0.889 0.250
0.500 0.000 0.500
0.500 0.500 0.000
```

Computed properties:
Total moment   0.00 μB/f.u.
Energy of formation   -0.219 eV/atom
V   30.7 Å³ per atom